Arrangement 1

DFT (PBE-GGA) results for a relaxed AcPdPb2 crystal.

Summary:
The space group is Immm (71). The volume comes out at 28.7 Å³ per atom. The calculation puts the calculated density at 10.82 g/cm³.

Cell: 10.893 10.893 10.893 Å, 154.18 124.80 61.91°
Positions (direct):
Ac 0.206 0.206 0.000
Ac 0.236 0.000 0.236
Ac 0.764 0.000 0.764
Ac 0.794 0.794 0.000
Pd 0.098 0.354 0.744
Pd 0.390 0.646 0.744
Pd 0.610 0.354 0.256
Pd 0.902 0.646 0.256
Pb 0.079 0.579 0.500
Pb 0.147 0.806 0.341
Pb 0.417 0.417 0.000
Pb 0.465 0.806 0.659
Pb 0.535 0.194 0.341
Pb 0.583 0.583 0.000
Pb 0.853 0.194 0.659
Pb 0.921 0.421 0.500



Arrangement 2

DFT (PBE-GGA) results for a relaxed AcPdPb2 crystal.

Summary:
The space group is P4/mmm (123). The volume comes out at 28.4 Å³ per atom. The calculation puts the calculated density at 10.93 g/cm³.

Cell: 4.709 4.709 5.124 Å, 90.00 90.00 90.00°
Positions (direct):
Ac 0.000 0.000 0.000
Pd 0.500 0.500 0.000
Pb 0.000 0.500 0.500
Pb 0.500 0.000 0.500



Arrangement 3

DFT (PBE-GGA) results for a relaxed AcPdPb2 crystal.

Summary:
The space group is P4/mmm (123). The volume comes out at 27.4 Å³ per atom. The calculation puts the calculated density at 11.32 g/cm³.

Cell: 3.688 3.688 8.066 Å, 90.00 90.00 90.00°
Positions (direct):
Ac 0.000 0.000 0.000
Pd 0.000 0.000 0.500
Pb 0.500 0.500 0.303
Pb 0.500 0.500 0.697



Verdict on stability: arrangement 1 comes out on top.



Arrangement 1

DFT (PBE-GGA) results for a relaxed AcPd3Pb2 crystal.

Summary:
The space group is Cmcm (63). The volume comes out at 24.1 Å³ per atom. The calculation puts the calculated density at 11.02 g/cm³.

Cell: 6.869 6.869 6.426 Å, 90.00 90.00 72.75°
Positions (direct):
Ac 0.171 0.829 0.750
Ac 0.829 0.171 0.250
Pd 0.052 0.691 0.250
Pd 0.309 0.948 0.250
Pd 0.466 0.534 0.250
Pd 0.534 0.466 0.750
Pd 0.691 0.052 0.750
Pd 0.948 0.309 0.750
Pb 0.288 0.288 0.000
Pb 0.288 0.288 0.500
Pb 0.712 0.712 0.000
Pb 0.712 0.712 0.500



Arrangement 2

DFT (PBE-GGA) results for a relaxed AcPd3Pb2 crystal.

Summary:
The space group is Cmcm (63). The volume comes out at 24.3 Å³ per atom. The calculation puts the calculated density at 10.93 g/cm³.

Cell: 6.848 6.848 6.224 Å, 90.00 90.00 90.79°
Positions (direct):
Ac 0.241 0.759 0.750
Ac 0.759 0.241 0.250
Pd 0.056 0.595 0.250
Pd 0.405 0.944 0.250
Pd 0.453 0.547 0.250
Pd 0.547 0.453 0.750
Pd 0.595 0.056 0.750
Pd 0.944 0.405 0.750
Pb 0.252 0.252 0.000
Pb 0.252 0.252 0.500
Pb 0.748 0.748 0.000
Pb 0.748 0.748 0.500



Verdict on stability: arrangement 1 comes out on top.



Arrangement 1

DFT (PBE-GGA) results for a relaxed AcPdRhPb crystal.

Summary:
The space group is Cm (8). The volume comes out at 24.3 Å³ per atom. The calculation puts the calculated density at 11.00 g/cm³.

Cell: 4.739 4.739 5.696 Å, 114.54 114.54 59.89°
Positions (direct):
Ac 0.000 0.000 0.000
Pd 0.789 0.789 0.368
Rh 0.209 0.209 0.624
Pb 0.509 0.509 0.525



Arrangement 2

DFT (PBE-GGA) results for a relaxed AcPdRhPb crystal.

Summary:
The space group is F-43m (216). The volume comes out at 23.0 Å³ per atom. The calculation puts the calculated density at 11.60 g/cm³.

Cell: 5.069 5.069 5.069 Å, 60.00 60.00 60.00°
Positions (direct):
Ac 0.000 0.000 0.000
Pd 0.250 0.250 0.250
Rh 0.750 0.750 0.750
Pb 0.500 0.500 0.500



Verdict on stability: arrangement 1 comes out on top.



Arrangement 1

DFT (PBE-GGA) results for a relaxed Ac3PmPb4 crystal.

Summary:
The space group is Pmn2_1 (31). The volume comes out at 35.1 Å³ per atom. The calculation puts the calculated density at 9.79 g/cm³.

Cell: 11.875 6.877 6.873 Å, 90.00 90.00 90.00°
Positions (direct):
Ac 0.000 0.028 0.000
Ac 0.250 0.260 0.713
Ac 0.250 0.740 0.213
Ac 0.500 0.972 0.500
Ac 0.750 0.260 0.713
Ac 0.750 0.740 0.213
Pm 0.000 0.509 0.479
Pm 0.500 0.491 0.979
Pb 0.000 0.004 0.490
Pb 0.000 0.517 0.976
Pb 0.225 0.759 0.711
Pb 0.275 0.241 0.211
Pb 0.500 0.483 0.476
Pb 0.500 0.996 0.990
Pb 0.725 0.241 0.211
Pb 0.775 0.759 0.711



Arrangement 2

DFT (PBE-GGA) results for a relaxed Ac3PmPb4 crystal.

Summary:
The space group is I4/mmm (139). The volume comes out at 34.4 Å³ per atom. The calculation puts the calculated density at 9.98 g/cm³.

Cell: 8.515 8.515 8.515 Å, 137.80 137.80 61.21°
Positions (direct):
Ac 0.000 0.000 0.000
Ac 0.258 0.258 0.000
Ac 0.742 0.742 0.000
Pm 0.500 0.500 0.000
Pb 0.118 0.618 0.500
Pb 0.382 0.882 0.500
Pb 0.618 0.118 0.500
Pb 0.882 0.382 0.500



Verdict on stability: arrangement 2 comes out on top.



Arrangement 1

DFT (PBE-GGA) results for a relaxed AcPm5Pb6 crystal.

Summary:
The space group is C2/m (12). The volume comes out at 32.4 Å³ per atom. The calculation puts the calculated density at 9.37 g/cm³.

Cell: 8.041 8.041 8.837 Å, 94.55 94.55 135.82°
Positions (direct):
Ac 0.000 0.000 0.000
Pm 0.000 0.000 0.500
Pm 0.330 0.670 0.000
Pm 0.340 0.660 0.500
Pm 0.660 0.340 0.500
Pm 0.670 0.330 0.000
Pb 0.165 0.821 0.259
Pb 0.179 0.835 0.741
Pb 0.479 0.479 0.752
Pb 0.521 0.521 0.248
Pb 0.821 0.165 0.259
Pb 0.835 0.179 0.741



Arrangement 2

DFT (PBE-GGA) results for a relaxed AcPm5Pb6 crystal.

Summary:
The space group is C2/m (12). The volume comes out at 30.7 Å³ per atom. The calculation puts the calculated density at 9.90 g/cm³.

Cell: 9.404 9.404 5.126 Å, 105.67 105.67 58.66°
Positions (direct):
Ac 0.000 0.000 0.000
Pm 0.169 0.169 0.669
Pm 0.334 0.334 0.334
Pm 0.500 0.500 0.000
Pm 0.666 0.666 0.666
Pm 0.831 0.831 0.331
Pb 0.082 0.577 0.830
Pb 0.257 0.743 0.500
Pb 0.423 0.918 0.170
Pb 0.577 0.082 0.830
Pb 0.743 0.257 0.500
Pb 0.918 0.423 0.170



Verdict on stability: arrangement 2 comes out on top.



Arrangement 1

DFT (PBE-GGA) results for a relaxed Ac2PmPb3 crystal.

Summary:
The space group is Immm (71). The volume comes out at 37.0 Å³ per atom. The calculation puts the calculated density at 9.14 g/cm³.

Cell: 10.201 10.201 10.201 Å, 158.54 145.10 41.34°
Positions (direct):
Ac 0.154 0.154 0.000
Ac 0.846 0.846 0.000
Pm 0.500 0.500 0.000
Pb 0.000 0.500 0.500
Pb 0.333 0.333 0.000
Pb 0.667 0.667 0.000



Arrangement 2

DFT (PBE-GGA) results for a relaxed Ac2PmPb3 crystal.

Summary:
The space group is C2/m (12). The volume comes out at 33.9 Å³ per atom. The calculation puts the calculated density at 9.96 g/cm³.

Cell: 9.609 9.609 7.364 Å, 90.00 90.00 143.22°
Positions (direct):
Ac 0.000 0.000 0.000
Ac 0.000 0.000 0.500
Ac 0.335 0.665 0.000
Ac 0.665 0.335 0.000
Pm 0.334 0.666 0.500
Pm 0.666 0.334 0.500
Pb 0.171 0.829 0.272
Pb 0.171 0.829 0.728
Pb 0.499 0.499 0.265
Pb 0.501 0.501 0.735
Pb 0.829 0.171 0.272
Pb 0.829 0.171 0.728



Verdict on stability: arrangement 2 comes out on top.